{
  "formula": "Tb2PrYSe4",
  "functional": "PBE",
  "state": "optimized geometry",
  "spacegroup": "No. 10",
  "lattice": [[7.1730, 0.0000, 0.0000], [0.0000, 4.0793, 0.0000], [-2.3252, 0.0000, 6.8484]],
  "species": ["Tb", "Tb", "Pr", "Y", "Se", "Se", "Se", "Se"],
  "fractional_positions": [[0.0000, 0.0000, 0.0000], [0.0000, 0.5000, 0.5000], [0.5000, 0.0000, 0.5000], [0.5000, 0.5000, 0.0000], [0.2402, 0.5000, 0.2396], [0.2457, 0.0000, 0.7556], [0.7543, 0.0000, 0.2444], [0.7598, 0.5000, 0.7604]]
}

---

{
  "formula": "LiGdCdSi",
  "functional": "PBE",
  "state": "optimized geometry",
  "spacegroup": "No. 216",
  "lattice": [[0.0000, 3.4833, 3.4833], [3.4833, 0.0000, 3.4833], [3.4833, 3.4833, 0.0000]],
  "species": ["Li", "Gd", "Cd", "Si"],
  "fractional_positions": [[0.0000, 0.0000, 0.0000], [0.5000, 0.5000, 0.5000], [0.2500, 0.2500, 0.2500], [0.7500, 0.7500, 0.7500]]
}

---

no.,ρ (g cm⁻³),uncorrected formation energy (eV/f.u.),final energy (eV for the cell shown)
1,7.16,-14.26,-48.7
2,5.99,-1.25,-23.6